DFT (SCAN) results for a PBEsol-optimized structure of GeCNO2.

Cell: 4.3068 4.3068 2.5030 Å, 90.00 90.00 90.00°
Last column: nearest neighbours and their distance in Å.
Space group P4/mmm (No. 123)
Inequivalent atoms, fractional coordinates:
Ge: 0.0000 0.0000 0.0000 [1 per cell]  8 O 2.49, 2 Ge 2.50
C: 0.5000 0.5000 0.5000 [1 per cell]  2 N 1.25
N: 0.5000 0.5000 0.0000 [1 per cell]  2 C 1.25
O: 0.0000 0.5000 0.5000 [2 per cell]  2 C 2.15

Properties
Energy relative to the elements, uncorrected: 0.82 eV per atom
Crystal system: tetragonal
Total DFT energy (no corrections): -9.37 eV/atom